Below is crystalline NbVAsSe2 at its relaxed geometry, with properties calculated at the PBE level.

The structure in CIF format:
```
data_NbVAsSe2
_chemical_formula_sum 'Nb1 V1 As1 Se2'
_cell_length_a 4.7726
_cell_length_b 4.7726
_cell_length_c 4.7610
_cell_angle_alpha 90.00
_cell_angle_beta 90.00
_cell_angle_gamma 90.00
_symmetry_space_group_name_H-M 'P 1'
_symmetry_Int_Tables_number 1
_symmetry_space_group_name_Hall 'P 1'
loop_
_atom_site_label
_atom_site_fract_x
_atom_site_fract_y
_atom_site_fract_z
_atom_site_occupancy
Nb1 0.0000 0.0000 0.0000 1
V1 0.5000 0.5000 0.5000 1
As1 0.5000 0.5000 0.0000 1
Se1 0.0000 0.5000 0.5000 1
Se2 0.5000 0.0000 0.5000 1
```

- Polymorph energy (0 for the lowest one): 0.000 eV per atom
- Magnetization: 3.4 μB/f.u.
- ΔE_f (raw): 0.42 eV per atom